Below is a geometry-optimized LaTaAu2 structure, with properties calculated at the PBE level.

Values from the calculation:
DFT formation energy: 7.7 meV per atom
ρ: 13.55 g/cm³
raw total energy: -5.83 eV per atom
distance to the lowest polymorph of the same formula: 211 meV per atom
crystal system: orthorhombic

CIF file:
```
data_LaTaAu2
_chemical_formula_sum 'La2 Ta2 Au4'
_cell_length_a 3.315
_cell_length_b 5.035
_cell_length_c 10.480
_cell_angle_alpha 90.00
_cell_angle_beta 90.00
_cell_angle_gamma 90.00
_space_group_name_H-M_alt 'I m m 2'
_space_group_IT_number 44
_space_group_name_Hall 'I 2 -2'
loop_
_atom_site_label
_atom_site_fract_x
_atom_site_fract_y
_atom_site_fract_z
_atom_site_occupancy
La1 0.000 0.000 0.000 1
Ta1 0.000 0.500 0.764 1
Au1 0.000 0.000 0.485 1
Au2 0.000 0.500 0.222 1
```


Below is a geometry-optimized Os3Rh structure, with properties calculated at the PBE level.

Values from the calculation:
DFT formation energy: 784.9 meV per atom
ρ: 18.97 g/cm³
raw total energy: -9.48 eV per atom
crystal system: trigonal

CIF file:
```
data_Os3Rh
_chemical_formula_sum 'Os9 Rh3'
_cell_length_a 8.7151
_cell_length_b 8.7151
_cell_length_c 2.6896
_cell_angle_alpha 90.00
_cell_angle_beta 90.00
_cell_angle_gamma 120.00
_space_group_name_H-M_alt 'R -3 m'
_space_group_IT_number 166
_space_group_name_Hall '-R 3 2"'
loop_
_atom_site_label
_atom_site_fract_x
_atom_site_fract_y
_atom_site_fract_z
_atom_site_occupancy
Os1 0.0000 0.5000 0.0000 1
Rh1 0.0000 0.0000 0.0000 1
```


Below is a geometry-optimized Li7Mg4Al structure, with properties calculated at the PBE level.

Values from the calculation:
DFT formation energy: -61.6 meV per atom
ρ: 1.26 g/cm³
raw total energy: -2.02 eV per atom
distance to the lowest polymorph of the same formula: 0 meV per atom
crystal system: trigonal

CIF file:
```
data_Li7Mg4Al
_chemical_formula_sum 'Li7 Mg4 Al1'
_cell_length_a 4.7734
_cell_length_b 4.7734
_cell_length_c 11.5688
_cell_angle_alpha 90.00
_cell_angle_beta 90.00
_cell_angle_gamma 120.00
_space_group_name_H-M_alt 'P -3 m 1'
_space_group_IT_number 164
_space_group_name_Hall '-P 3 2"'
loop_
_atom_site_label
_atom_site_fract_x
_atom_site_fract_y
_atom_site_fract_z
_atom_site_occupancy
Li1 0.0000 0.0000 0.0000 1
Li2 0.0000 0.0000 0.2528 1
Li3 0.3333 0.6667 0.1742 1
Li4 0.3333 0.6667 0.4191 1
Mg1 0.3333 0.6667 0.6540 1
Mg2 0.3333 0.6667 0.9188 1
Al1 0.0000 0.0000 0.5000 1
```